The following is a PBE+U calculation of a geometry-optimized Ba2Fe3P6HO22 structure, from Alexandria.

Its total energy is -7.10 eV/atom. Its magnetic moment is 14.91 μB/cell.

Geometry as POSCAR:
```
Ba2Fe3P6HO22
1.0
4.9328 0.0043 0.0273
0.4081 8.0448 -0.0090
0.2064 0.1236 11.4080
O P Fe H Ba
22 6 3 1 2
direct
0.6795 0.6471 0.5281
0.5092 0.6999 0.7382
0.2730 0.8837 0.0712
0.8637 0.8799 0.6509
0.0713 0.3202 0.8716
0.1424 0.6773 0.9204
0.9287 0.6798 0.1284
0.8576 0.3227 0.0796
0.4908 0.3001 0.2618
0.4166 0.5683 0.0874
0.7270 0.1163 0.9288
0.2921 0.0918 0.5965
0.7079 0.9082 0.4035
0.1363 0.1201 0.3491
0.5432 0.6500 0.3158
0.7553 0.1973 0.5358
0.9827 0.5713 0.6915
0.5834 0.4317 0.9126
0.4568 0.3500 0.6842
0.2447 0.8027 0.4642
0.3205 0.3529 0.4719
0.0173 0.4287 0.3085
0.2355 0.2991 0.3422
0.5347 0.7556 0.4254
0.7645 0.7009 0.6578
0.4653 0.2444 0.5746
0.8118 0.2961 0.9466
0.1882 0.7039 0.0534
0.0000 0.0000 0.5000
0.2757 0.5076 0.7955
0.7243 0.4924 0.2045
0.5000 0.5000 0.0000
0.7351 0.0063 0.1737
0.2649 0.9937 0.8263
```